This record from Alexandria via LeMat-Bulk describes crystalline SmHo4Bi5 at its relaxed geometry. The functional is GGA-PBE.

Summary:
As for the space-group type: Immm, No. 71. Its energy of formation from the pure elements is -0.853 eV/atom. The calculation puts the density at 9.69 g/cm³.

The structure in POSCAR format:
```
SmHo4Bi5
1.0
-2.240 3.168 11.198
2.240 -3.168 11.198
2.240 3.168 -11.198
Sm Ho Bi
1 4 5
Direct
0.000 0.000 0.000
0.201 0.201 0.000
0.400 0.400 0.000
0.600 0.600 0.000
0.799 0.799 0.000
0.102 0.602 0.500
0.301 0.801 0.500
0.500 0.000 0.500
0.699 0.199 0.500
0.898 0.398 0.500
```



This record from Alexandria via LeMat-Bulk describes crystalline Sm4HoBi3 at its relaxed geometry. The functional is GGA-PBE.

Summary:
As for the space-group type: Immm, No. 71. Its energy of formation from the pure elements is -0.463 eV/atom. The calculation puts the density at 8.84 g/cm³.

The structure in POSCAR format:
```
Sm4HoBi3
1.0
-2.059 4.399 7.225
2.059 -4.399 7.225
2.059 4.399 -7.225
Sm Ho Bi
4 1 3
Direct
0.073 0.867 0.205
0.338 0.133 0.205
0.662 0.867 0.795
0.927 0.133 0.795
0.500 0.000 0.500
0.000 0.500 0.500
0.323 0.323 0.000
0.677 0.677 0.000
```